Here is a geometry-optimized BaTlSi2 structure from Alexandria. Energies are from GGA-PBE.

```
data_BaTlSi2
_space_group_name_H-M_alt 'P 1'
_space_group_IT_number 1
_space_group_name_Hall 'P 1'
_cell_length_a 8.798
_cell_length_b 8.798
_cell_length_c 8.798
_cell_angle_alpha 25.87
_cell_angle_beta 25.87
_cell_angle_gamma 25.87
loop_
_atom_site_label
_atom_site_fract_x
_atom_site_fract_y
_atom_site_fract_z
Ba1 0.000 0.000 0.000
Tl1 0.213 0.213 0.213
Si1 0.457 0.457 0.457
Si2 0.757 0.757 0.757
```

- D(E_F) (states/eV/atom) = 0.597
- ΔE_f (raw) (eV/atom) = 0.004
- size of the total moment (μB/atom) = 0.000
- polymorph energy (0 for the lowest one) (eV per atom) = 0.1325
- uncorrected energy (hartree per atom) = -0.1389